(1)
First-principles (PBE) data for crystalline Ce7Tc2Pb at its relaxed geometry, as listed in Alexandria.

Lattice parameters (Å, degrees): 5.0723 7.9377 7.9377 107.15 90.00 90.00
Last column: magnetic moment on the atom in μB.
Atoms (fractional coordinates):
Ce  0.0000  0.7242  0.2758  0.33
Ce  0.0000  0.2758  0.7242  0.33
Ce  0.5000  0.0783  0.3003  0.64
Ce  0.5000  0.9217  0.6997  0.64
Ce  0.5000  0.3003  0.0783  0.64
Ce  0.5000  0.6997  0.9217  0.64
Ce  0.5000  0.5000  0.5000  0.12
Tc  0.5000  0.6977  0.3023  -0.05
Tc  0.5000  0.3023  0.6977  -0.05
Pb  0.0000  0.0000  0.0000  -0.02

Summary:
- symmetry = No. 65

=====

(2)
First-principles (PBE) data for crystalline AcAgAs2Pd5 at its relaxed geometry, as listed in Alexandria.

Lattice parameters (Å, degrees): 4.7207 4.7207 7.8827 90.00 90.00 90.00
Atoms (fractional coordinates):
Ac  0.0000  0.0000  0.5000
Ag  0.0000  0.0000  0.0000
As  0.5000  0.5000  0.1606
As  0.5000  0.5000  0.8394
Pd  0.0000  0.5000  0.2480
Pd  0.5000  0.0000  0.2480
Pd  0.0000  0.5000  0.7520
Pd  0.5000  0.0000  0.7520
Pd  0.5000  0.5000  0.5000

Summary:
- symmetry = No. 123

=====

(3)
First-principles (PBE) data for crystalline LiGdScAu at its relaxed geometry, as listed in Alexandria.

Lattice parameters (Å, degrees): 4.9887 4.9887 4.9887 60.00 60.00 60.00
Last column: magnetic moment on the atom in μB.
Atoms (fractional coordinates):
Sc  0.7500  0.7500  0.7500  -0.03
Gd  0.2500  0.2500  0.2500  7.04
Au  0.0000  0.0000  0.0000  0.01
Li  0.5000  0.5000  0.5000  0.01

Summary:
- symmetry = No. 216

=====

Spin magnetization across the listed records, respectively: 4.01, 0.00, 7.18 μB per formula unit.
Final energy across the listed records, respectively: -65.76, -46.15, -27.09 eV per cell.
DFT formation energy across the listed records, respectively: 21, -379, -144 kJ/mol of formula units.